DFT (PBE with a Hubbard U) results for a relaxed structure of Co2MoPdF.

```
data_Co2MoPdF
_symmetry_space_group_name_H-M 'P 1'
_symmetry_Int_Tables_number 1
_symmetry_space_group_name_Hall 'P 1'
_cell_length_a 4.7909
_cell_length_b 3.9735
_cell_length_c 4.7909
_cell_angle_alpha 90.00
_cell_angle_beta 90.00
_cell_angle_gamma 90.00
loop_
_atom_site_label
_atom_site_type_symbol
_atom_site_fract_x
_atom_site_fract_y
_atom_site_fract_z
_atom_site_occupancy
Co1 Co 0.5000 0.0000 0.0000 1
Co2 Co 0.0000 0.0000 0.5000 1
F1 F 0.0000 0.5000 0.0000 1
Mo1 Mo 0.0000 0.0000 0.0000 1
Pd1 Pd 0.5000 0.5000 0.5000 1
```

As for the density: 6.2 g/cm3. The value obtained for the offset from the most stable computed form is 0 meV/atom. As for the crystal system: tetragonal.